1.
A plane-wave DFT calculation with GGA-PBE was carried out for a relaxed structure of ZrTaGe2.

```
4
Lattice="0.000 3.294 3.294 3.294 0.000 3.294 3.294 3.294 0.000" Properties=species:S:1:pos:R:3 pbc="T T T"
Ge 1.647 1.647 1.647
Ta 3.294 3.294 3.294
Ge 4.941 4.941 4.941
Zr 0.000 0.000 0.000
```

Properties
Offset from the most stable computed form in eV per atom: 0.175
E in eV per atom: -7.58
ΔH_f (0 K) in meV per atom: -172


2.
A plane-wave DFT calculation with GGA-PBE was carried out for a relaxed structure of Na10B13C7.

```
30
Lattice="2.874 0.000 0.000 -1.437 2.489 0.000 0.000 0.000 42.572" Properties=species:S:1:pos:R:3 pbc="T T T"
B 1.437 0.830 27.727
C 1.437 0.830 14.930
B 0.000 1.659 6.444
C 0.000 1.659 36.136
C 1.437 0.830 40.338
Na 0.000 0.000 4.253
Na 0.000 0.000 25.597
Na 0.000 0.000 42.463
B 0.000 1.659 23.426
C 0.000 1.659 10.737
Na 0.000 0.000 34.034
Na 0.000 0.000 38.240
C 0.000 1.659 27.730
C 0.000 1.659 19.126
C 1.437 0.830 31.934
B 1.437 0.830 2.062
B 0.000 1.659 14.931
Na 0.000 0.000 29.827
B 0.000 1.659 31.933
B 1.437 0.830 10.734
B 1.437 0.830 19.129
B 1.437 0.830 23.426
Na 0.000 0.000 8.615
B 1.437 0.830 36.136
B 0.000 1.659 40.340
Na 0.000 0.000 17.031
Na 0.000 0.000 21.256
B 1.437 0.830 6.444
Na 0.000 0.000 12.832
B 0.000 1.659 2.062
```

Properties
Offset from the most stable computed form in eV per atom: 0.032
E in eV per atom: -5.37
ΔH_f (0 K) in meV per atom: 118


3.
A plane-wave DFT calculation with GGA-PBE was carried out for a relaxed structure of NbTc2W6.

```
9
Lattice="-2.519 3.526 1.218 -2.886 -0.564 -4.350 1.934 -4.633 9.100" Properties=species:S:1:pos:R:3 pbc="T T T"
W -2.006 0.616 2.384
W -2.480 1.191 -0.254
Nb 0.000 0.000 0.000
W -1.464 -2.287 3.585
Tc -1.024 -0.504 7.664
W -0.990 -2.862 6.223
W -1.521 0.049 5.025
Tc -2.447 -1.167 -1.695
W -1.950 -1.719 0.943
```

Properties
E in eV per atom: -12.05
ΔH_f (0 K) in meV per atom: 4